DFT (GGA-PBEsol) results for a relaxed LiTe2MoI crystal.

Unit cell a=4.9581 b=4.9581 c=5.2392 alpha=90.00 beta=90.00 gamma=90.00
Space group P4/mmm (No. 123)
One atom of each set of equivalent atoms:
Li  0.0000  0.0000  0.0000
Te  0.0000  0.5000  0.0000
Mo  0.5000  0.5000  0.5000
I  0.0000  0.0000  0.5000

Summary:
Final energy: -3.690 eV/atom

***

DFT (GGA-PBEsol) results for a relaxed YTcSb4 crystal.

Unit cell a=8.5100 b=8.5100 c=8.5100 alpha=90.00 beta=90.00 gamma=90.00
Space group F-43m (No. 216)
One atom of each set of equivalent atoms:
Y  0.0000  0.0000  0.0000
Tc  0.2500  0.2500  0.2500
Sb  0.1244  0.1244  0.6244

Summary:
Final energy: -5.465 eV/atom

***

DFT (GGA-PBEsol) results for a relaxed ZrTaRe2 crystal.

Unit cell a=3.8094 b=3.8094 c=9.3513 alpha=90.00 beta=90.00 gamma=90.00
Space group I-4m2 (No. 119)
One atom of each set of equivalent atoms:
Zr  0.0000  0.0000  0.0000
Ta  0.0000  0.5000  0.7500
Re  0.0000  0.0000  0.5000
Re  0.0000  0.5000  0.2500

Summary:
Energy of formation: 0.09 eV/atom

***

DFT (GGA-PBEsol) results for a relaxed ScRe2Hg crystal.

Unit cell a=3.2498 b=4.5654 c=9.1421 alpha=90.00 beta=90.00 gamma=90.00
Space group Cmm2 (No. 35)
One atom of each set of equivalent atoms:
Sc  0.0000  0.0000  0.0000
Re  0.0000  0.0000  0.4582
Re  0.0000  0.5000  0.2391
Hg  0.0000  0.5000  0.7279

Summary:
Energy of formation: 0.25 eV/atom